A relaxed structure of NaMn2TlPb. Source: the Alexandria database, functional PBE.

POSCAR file:
```
NaMn2TlPb
1.0
-1.4931 2.7211 -4.2194
4.4772 -2.6319 -3.2817
-3.2612 -3.8726 -1.3434
Pb Na Tl Mn
1 1 1 2
Direct
0.0000 0.0000 0.0000 Pb
0.5000 0.5000 0.5000 Na
0.0000 0.5000 0.0000 Tl
0.0000 0.0000 0.5000 Mn
0.5000 0.0000 0.0000 Mn
```

Summary:
Calculated volume: 169 Å³/cell
D(E_F): 0.610 states/eV per atom
DFT total energy: -4.30 eV per atom
Energy above the most stable polymorph in this dataset: 0 meV/atom
Energy of formation: 0.850 eV per atom
Space-group type: P4/mmm, No. 123